TbHo3ErTm: optimized geometry, GGA-PBE.

The density of states at the Fermi level comes out at 31.3 states/eV/cell. The value obtained for the total energy is -4.545 eV per atom.

a = 4.966 Å, b = 14.911 Å, c = 9.934 Å
α = 90.00°, β = 90.00°, γ = 90.00°
Space group Cmcm (No. 63)
Asymmetric unit:
Tb 0.000 0.000 0.250 [4 per cell]
Ho 0.000 0.167 0.000 [8 per cell]
Ho 0.000 0.333 0.250 [4 per cell]
Er 0.000 0.500 0.000 [4 per cell]
Tm 0.000 0.333 0.750 [4 per cell]

=====

TbHo2ErTm2: optimized geometry, GGA-PBE.

The density of states at the Fermi level comes out at 17.0 states/eV/cell. The value obtained for the total energy is -4.263 eV per atom.

a = 6.526 Å, b = 17.363 Å, c = 3.337 Å
α = 90.00°, β = 90.00°, γ = 90.00°
Space group Pnnm (No. 58)
Asymmetric unit:
Tb 0.000 0.000 0.000 [2 per cell]
Ho 0.234 0.150 0.500 [4 per cell]
Er 0.000 0.500 0.000 [2 per cell]
Tm 0.236 0.320 0.000 [4 per cell]

=====

Tb5Ho2ErTm: optimized geometry, GGA-PBE.

The density of states at the Fermi level comes out at 58.1 states/eV/cell. The value obtained for the total energy is -4.441 eV per atom.

a = 5.553 Å, b = 19.778 Å, c = 10.516 Å
α = 90.00°, β = 90.00°, γ = 90.00°
Space group Cmc2_1 (No. 36)
Asymmetric unit:
Tb 0.000 0.018 0.000 [4 per cell]
Tb 0.000 0.281 0.289 [4 per cell]
Tb 0.000 0.300 0.687 [4 per cell]
Tb 0.000 0.387 0.001 [4 per cell]
Tb 0.000 0.481 0.720 [4 per cell]
Ho 0.000 0.111 0.717 [4 per cell]
Ho 0.000 0.114 0.294 [4 per cell]
Er 0.000 0.411 0.438 [4 per cell]
Tm 0.000 0.199 0.990 [4 per cell]

=====

Tb5HoErTm2: optimized geometry, GGA-PBE.

The density of states at the Fermi level comes out at 59.0 states/eV/cell. The value obtained for the total energy is -4.426 eV per atom.

a = 5.546 Å, b = 19.792 Å, c = 10.497 Å
α = 90.00°, β = 90.00°, γ = 90.00°
Space group Cmc2_1 (No. 36)
Asymmetric unit:
Tb 0.000 0.018 0.000 [4 per cell]
Tb 0.000 0.281 0.288 [4 per cell]
Tb 0.000 0.300 0.685 [4 per cell]
Tb 0.000 0.389 0.001 [4 per cell]
Tb 0.000 0.480 0.718 [4 per cell]
Ho 0.000 0.199 0.989 [4 per cell]
Er 0.000 0.412 0.436 [4 per cell]
Tm 0.000 0.110 0.716 [4 per cell]
Tm 0.000 0.114 0.294 [4 per cell]

=====

TbHo2Er3Tm6: optimized geometry, GGA-PBE.

The density of states at the Fermi level comes out at 33.6 states/eV/cell. The value obtained for the total energy is -4.501 eV per atom.

a = 6.061 Å, b = 10.483 Å, c = 11.585 Å
α = 90.00°, β = 100.01°, γ = 90.00°
Space group C2/m (No. 12)
Asymmetric unit:
Tb 0.000 0.000 0.000 [2 per cell]
Ho 0.000 0.333 0.000 [4 per cell]
Er 0.000 0.167 0.500 [4 per cell]
Er 0.000 0.500 0.500 [2 per cell]
Tm 0.249 0.333 0.749 [8 per cell]
Tm 0.250 0.000 0.749 [4 per cell]

=====

TbHo2Er5Tm: optimized geometry, GGA-PBE.

The density of states at the Fermi level comes out at 55.9 states/eV/cell. The value obtained for the total energy is -4.407 eV per atom.

a = 5.524 Å, b = 19.620 Å, c = 10.464 Å
α = 90.00°, β = 90.00°, γ = 90.00°
Space group Cmc2_1 (No. 36)
Asymmetric unit:
Tb 0.000 0.200 0.000 [4 per cell]
Ho 0.000 0.109 0.726 [4 per cell]
Ho 0.000 0.113 0.307 [4 per cell]
Er 0.000 0.018 0.014 [4 per cell]
Er 0.000 0.282 0.296 [4 per cell]
Er 0.000 0.301 0.697 [4 per cell]
Er 0.000 0.391 0.012 [4 per cell]
Er 0.000 0.479 0.727 [4 per cell]
Tm 0.000 0.413 0.446 [4 per cell]

=====

Tb2Ho2Er4Tm: optimized geometry, GGA-PBE.

The density of states at the Fermi level comes out at 24.0 states/eV/cell. The value obtained for the total energy is -4.569 eV per atom.

a = 18.418 Å, b = 3.545 Å, c = 9.410 Å
α = 90.00°, β = 115.79°, γ = 90.00°
Space group C2/m (No. 12)
Asymmetric unit:
Tb 0.148 0.000 0.165 [4 per cell]
Ho 0.166 0.500 0.501 [4 per cell]
Er 0.019 0.500 0.833 [4 per cell]
Er 0.185 0.000 0.834 [4 per cell]
Tm 0.000 0.000 0.500 [2 per cell]

=====

TbHo5ErTm2: optimized geometry, GGA-PBE.

The density of states at the Fermi level comes out at 57.6 states/eV/cell. The value obtained for the total energy is -4.399 eV per atom.

a = 5.529 Å, b = 19.654 Å, c = 10.474 Å
α = 90.00°, β = 90.00°, γ = 90.00°
Space group Cmc2_1 (No. 36)
Asymmetric unit:
Tb 0.000 0.200 0.000 [4 per cell]
Ho 0.000 0.018 0.013 [4 per cell]
Ho 0.000 0.282 0.297 [4 per cell]
Ho 0.000 0.300 0.697 [4 per cell]
Ho 0.000 0.391 0.012 [4 per cell]
Ho 0.000 0.479 0.727 [4 per cell]
Er 0.000 0.413 0.445 [4 per cell]
Tm 0.000 0.109 0.727 [4 per cell]
Tm 0.000 0.113 0.306 [4 per cell]

=====

- Which formula does entry 1 have?
  TbHo3ErTm